The following is a PBE calculation of crystalline Sc2SiCl at its relaxed geometry, from Alexandria.

formation energy (no corrections)	-17.50	kcal/mol of atoms
calculated density	3.36	Mg/m³
ΔE to the lowest computed polymorph	249	meV/atom

Unit cell a=6.9930 b=7.1121 c=3.1179 alpha=90.00 beta=102.21 gamma=90.00
Closest atoms and distances in Å follow each position.
Space group C2/m (No. 12)
One atom of each set of equivalent atoms:
Sc  0.2500  0.2500  0.0000  2 Cl 2.74, 2 Si 2.74
Si  0.0000  0.0000  0.5000  4 Sc 2.74
Cl  0.0000  0.5000  0.5000  4 Sc 2.74



The following is a PBE calculation of crystalline Sc2SiCl at its relaxed geometry, from Alexandria.

formation energy (no corrections)	-19.49	kcal/mol of atoms
calculated density	3.28	Mg/m³
ΔE to the lowest computed polymorph	163	meV/atom

Unit cell a=4.3274 b=3.3105 c=10.8473 alpha=90.00 beta=90.00 gamma=90.00
Closest atoms and distances in Å follow each position.
Space group Amm2 (No. 38)
One atom of each set of equivalent atoms:
Sc  0.0000  0.0000  0.0000  4 Cl 2.73, 3 Si 2.96-2.97
Sc  0.5000  0.0000  0.2581  1 Cl 2.46, 4 Si 2.74
Si  0.0000  0.0000  0.7274  7 Sc 2.74-2.97
Cl  0.5000  0.0000  0.4847  5 Sc 2.46-2.73



The following is a PBE calculation of crystalline ScSi2Cl at its relaxed geometry, from Alexandria.

formation energy (no corrections)	-11.56	kcal/mol of atoms
calculated density	2.87	Mg/m³
ΔE to the lowest computed polymorph	98	meV/atom

Unit cell a=8.2448 b=3.6864 c=6.0691 alpha=90.00 beta=121.17 gamma=90.00
Closest atoms and distances in Å follow each position.
Space group Cm (No. 8)
One atom of each set of equivalent atoms:
Sc  0.0000  0.0000  0.0000  3 Cl 2.40-2.55
Si  0.0850  0.5000  0.4294  2 Si 2.42
Si  0.3068  0.0000  0.5672  2 Si 2.42
Cl  0.2310  0.5000  0.0533  3 Sc 2.40-2.55



The following is a PBE calculation of crystalline ScSi2Cl at its relaxed geometry, from Alexandria.

formation energy (no corrections)	8.50	kcal/mol of atoms
calculated density	2.93	Mg/m³
ΔE to the lowest computed polymorph	968	meV/atom

Unit cell a=6.7681 b=6.7681 c=6.7681 alpha=90.00 beta=90.00 gamma=90.00
Closest atoms and distances in Å follow each position.
Space group Fm-3m (No. 225)
One atom of each set of equivalent atoms:
Sc  0.0000  0.0000  0.0000  8 Si 2.93
Si  0.2500  0.2500  0.2500  4 Cl 2.93, 4 Sc 2.93
Cl  0.0000  0.0000  0.5000  8 Si 2.93



The following is a PBE calculation of crystalline ScSiCl2 at its relaxed geometry, from Alexandria.

formation energy (no corrections)	-9.61	kcal/mol of atoms
calculated density	3.03	Mg/m³
ΔE to the lowest computed polymorph	532	meV/atom

Unit cell a=3.8472 b=3.8472 c=10.6640 alpha=90.00 beta=90.00 gamma=90.00
Closest atoms and distances in Å follow each position.
Space group I-4m2 (No. 119)
One atom of each set of equivalent atoms:
Sc  0.0000  0.0000  0.0000  4 Cl 2.72
Si  0.0000  0.5000  0.7500  4 Cl 2.72
Cl  0.0000  0.0000  0.5000  4 Sc 2.72
Cl  0.0000  0.5000  0.2500  4 Si 2.72



The following is a PBE calculation of crystalline Sc2SiCl at its relaxed geometry, from Alexandria.

formation energy (no corrections)	-11.92	kcal/mol of atoms
calculated density	2.79	Mg/m³
ΔE to the lowest computed polymorph	491	meV/atom

Unit cell a=3.1850 b=3.1850 c=9.0040 alpha=90.00 beta=90.00 gamma=90.00
Closest atoms and distances in Å follow each position.
Space group P4mm (No. 99)
One atom of each set of equivalent atoms:
Sc  0.0000  0.0000  0.0000  4 Cl 2.68
Sc  0.5000  0.5000  0.2883  4 Si 2.76
Si  0.0000  0.0000  0.4658  4 Sc 2.76
Cl  0.5000  0.5000  0.8391  4 Sc 2.68



The following is a PBE calculation of crystalline ScSi2Cl at its relaxed geometry, from Alexandria.

formation energy (no corrections)	-5.67	kcal/mol of atoms
calculated density	3.11	Mg/m³
ΔE to the lowest computed polymorph	354	meV/atom

Unit cell a=3.1323 b=4.6647 c=4.9988 alpha=90.00 beta=90.00 gamma=90.00
Closest atoms and distances in Å follow each position.
Space group Pmmm (No. 47)
One atom of each set of equivalent atoms:
Sc  0.0000  0.0000  0.0000  2 Cl 2.50
Si  0.5000  0.5000  0.2362  2 Si 2.36-2.64
Cl  0.0000  0.0000  0.5000  2 Sc 2.50



The following is a PBE calculation of crystalline Sc2SiCl at its relaxed geometry, from Alexandria.

formation energy (no corrections)	-12.52	kcal/mol of atoms
calculated density	2.41	Mg/m³
ΔE to the lowest computed polymorph	465	meV/atom

Unit cell a=5.8039 b=5.8039 c=12.5592 alpha=90.00 beta=90.00 gamma=90.00
Closest atoms and distances in Å follow each position.
Space group I-42d (No. 122)
One atom of each set of equivalent atoms:
Sc  0.2422  0.2500  0.1250  2 Si 2.56, 2 Cl 2.61
Si  0.0000  0.0000  0.0000  4 Sc 2.56
Cl  0.0000  0.0000  0.5000  4 Sc 2.61



The following is a PBE calculation of crystalline ScSiCl2 at its relaxed geometry, from Alexandria.

formation energy (no corrections)	-17.56	kcal/mol of atoms
calculated density	2.71	Mg/m³
ΔE to the lowest computed polymorph	188	meV/atom

Unit cell a=3.4042 b=3.4042 c=7.6099 alpha=90.00 beta=90.00 gamma=90.00
Closest atoms and distances in Å follow each position.
Space group P4mm (No. 99)
One atom of each set of equivalent atoms:
Sc  0.0000  0.0000  0.0000  4 Si 2.74, 5 Cl 2.82-2.83
Si  0.5000  0.5000  0.1708  4 Sc 2.74, 5 Cl 2.77-2.85
Cl  0.0000  0.0000  0.3718  1 Sc 2.83, 4 Si 2.85
Cl  0.5000  0.5000  0.8074  1 Si 2.77, 4 Sc 2.82



The following is a PBE calculation of crystalline ScSiCl2 at its relaxed geometry, from Alexandria.

formation energy (no corrections)	-15.76	kcal/mol of atoms
calculated density	2.31	Mg/m³
ΔE to the lowest computed polymorph	266	meV/atom

Unit cell a=3.3203 b=4.7621 c=13.0846 alpha=90.00 beta=90.00 gamma=90.00
Closest atoms and distances in Å follow each position.
Space group Imm2 (No. 44)
One atom of each set of equivalent atoms:
Sc  0.0000  0.0000  0.0000  2 Cl 2.51, 2 Si 2.72
Si  0.0000  0.5000  0.3352  2 Sc 2.72, 2 Cl 2.74
Cl  0.0000  0.0000  0.4385  2 Si 2.74, 4 Sc 3.01
Cl  0.0000  0.5000  0.6435  2 Sc 2.51



Repeat the tenth record exactly.
The following is a PBE calculation of crystalline ScSiCl2 at its relaxed geometry, from Alexandria.

formation energy (no corrections)	-15.76	kcal/mol of atoms
calculated density	2.31	Mg/m³
ΔE to the lowest computed polymorph	266	meV/atom

Unit cell a=3.3203 b=4.7621 c=13.0846 alpha=90.00 beta=90.00 gamma=90.00
Closest atoms and distances in Å follow each position.
Space group Imm2 (No. 44)
One atom of each set of equivalent atoms:
Sc  0.0000  0.0000  0.0000  2 Cl 2.51, 2 Si 2.72
Si  0.0000  0.5000  0.3352  2 Sc 2.72, 2 Cl 2.74
Cl  0.0000  0.0000  0.4385  2 Si 2.74, 4 Sc 3.01
Cl  0.0000  0.5000  0.6435  2 Sc 2.51